(1)
First-principles (GGA-PBE) data for a relaxed structure of RbZnBi, as listed in Alexandria.

Formation energy = -0.645 eV/f.u.

```
data_RbZnBi
_cell_length_a 8.953
_cell_length_b 5.184
_cell_length_c 8.235
_cell_angle_alpha 90.00
_cell_angle_beta 90.00
_cell_angle_gamma 90.00
_symmetry_space_group_name_H-M 'P n m a'
_symmetry_Int_Tables_number 62
loop_
_symmetry_equiv_pos_as_xyz
'x,y,z'
'-x,-y,-z'
'-x+1/2,-y,z+1/2'
'x+1/2,y,-z+1/2'
'x+1/2,-y+1/2,-z+1/2'
'-x+1/2,y+1/2,z+1/2'
'-x,y+1/2,-z'
'x,-y+1/2,z'
loop_
_atom_site_label
_atom_site_type_symbol
_atom_site_fract_x
_atom_site_fract_y
_atom_site_fract_z
_atom_site_occupancy
Rb1 Rb 0.012 0.250 0.168 1
Zn1 Zn 0.158 0.750 0.410 1
Bi1 Bi 0.172 0.250 0.600 1
```


(2)
First-principles (GGA-PBE) data for a relaxed structure of RbZn3Bi3, as listed in Alexandria.

Formation energy = -0.213 eV/f.u.

```
data_RbZn3Bi3
_cell_length_a 7.843
_cell_length_b 7.843
_cell_length_c 7.843
_cell_angle_alpha 90.00
_cell_angle_beta 90.00
_cell_angle_gamma 90.00
_symmetry_space_group_name_H-M 'P m -3 n'
_symmetry_Int_Tables_number 223
_symmetry_space_group_name_Hall '-P 4n 2 3'
loop_
_atom_site_label
_atom_site_type_symbol
_atom_site_fract_x
_atom_site_fract_y
_atom_site_fract_z
_atom_site_occupancy
Rb1 Rb 0.000 0.000 0.000 1
Zn1 Zn 0.000 0.250 0.500 1
Bi1 Bi 0.000 0.500 0.250 1
```


(3)
First-principles (GGA-PBE) data for a relaxed structure of Rb5ZnBi2, as listed in Alexandria.

Formation energy = -2.224 eV/f.u.

```
data_Rb5ZnBi2
_cell_length_a 6.5484
_cell_length_b 6.5484
_cell_length_c 22.2702
_cell_angle_alpha 90.00
_cell_angle_beta 90.00
_cell_angle_gamma 120.00
_symmetry_space_group_name_H-M 'P 63/m m c'
_symmetry_Int_Tables_number 194
_symmetry_space_group_name_Hall '-P 6c 2c'
loop_
_atom_site_label
_atom_site_type_symbol
_atom_site_fract_x
_atom_site_fract_y
_atom_site_fract_z
_atom_site_occupancy
Rb1 Rb 0.0000 0.0000 0.1408 1
Rb2 Rb 0.3333 0.6667 0.0480 1
Rb3 Rb 0.3333 0.6667 0.2500 1
Zn1 Zn 0.3333 0.6667 0.7500 1
Bi1 Bi 0.3333 0.6667 0.6308 1
```


(4)
First-principles (GGA-PBE) data for a relaxed structure of RbZn2Bi2, as listed in Alexandria.

Formation energy = -0.664 eV/f.u.

```
data_RbZn2Bi2
_cell_length_a 4.971
_cell_length_b 4.971
_cell_length_c 12.056
_cell_angle_alpha 90.00
_cell_angle_beta 90.00
_cell_angle_gamma 90.00
_symmetry_space_group_name_H-M 'I 4/m m m'
_symmetry_Int_Tables_number 139
_symmetry_space_group_name_Hall '-I 4 2'
loop_
_atom_site_label
_atom_site_type_symbol
_atom_site_fract_x
_atom_site_fract_y
_atom_site_fract_z
_atom_site_occupancy
Rb1 Rb 0.000 0.000 0.000 1
Zn1 Zn 0.000 0.000 0.396 1
Bi1 Bi 0.000 0.500 0.250 1
```


(5)
First-principles (GGA-PBE) data for a relaxed structure of RbZnBi2, as listed in Alexandria.

Formation energy = -0.122 eV/f.u.

```
data_RbZnBi2
_cell_length_a 5.1499
_cell_length_b 5.1499
_cell_length_c 20.2411
_cell_angle_alpha 90.00
_cell_angle_beta 90.00
_cell_angle_gamma 120.00
_symmetry_space_group_name_H-M 'R -3 m'
_symmetry_Int_Tables_number 166
_symmetry_space_group_name_Hall '-R 3 2"'
loop_
_atom_site_label
_atom_site_type_symbol
_atom_site_fract_x
_atom_site_fract_y
_atom_site_fract_z
_atom_site_occupancy
Rb1 Rb 0.0000 0.0000 0.0000 1
Zn1 Zn 0.0000 0.0000 0.5000 1
Bi1 Bi 0.0000 0.0000 0.2010 1
```


(6)
First-principles (GGA-PBE) data for a relaxed structure of Rb2ZnBi2, as listed in Alexandria.

Formation energy = -0.031 eV/f.u.

```
data_Rb2ZnBi2
_cell_length_a 7.532
_cell_length_b 7.532
_cell_length_c 8.482
_cell_angle_alpha 90.00
_cell_angle_beta 90.00
_cell_angle_gamma 90.00
_symmetry_space_group_name_H-M 'I 4/m m m'
_symmetry_Int_Tables_number 139
_symmetry_space_group_name_Hall '-I 4 2'
loop_
_atom_site_label
_atom_site_type_symbol
_atom_site_fract_x
_atom_site_fract_y
_atom_site_fract_z
_atom_site_occupancy
Rb1 Rb 0.000 0.500 0.250 1
Zn1 Zn 0.000 0.000 0.000 1
Bi1 Bi 0.000 0.000 0.317 1
```


Calculated volume: 96 241 414 149 155 241 (Å³/f.u.)